The following is a DFT calculation (GGA+U) of crystalline Sm2YCo2B2O3 at its relaxed geometry.

Computed properties:
- total DFT energy (no corrections) (eV/atom) = -7.07

abc: 11.2318 11.2318 11.2318
angles: 162.42 162.42 24.97
Fractional positions:
B: 0.2126 0.2126 0.0000
B: 0.7874 0.7874 0.0000
Co: 0.7500 0.2500 0.5000
Co: 0.2500 0.7500 0.5000
O: 0.1010 0.1010 0.0000
O: 0.5000 0.5000 0.0000
O: 0.8990 0.8990 0.0000
Sm: 0.3639 0.3639 0.0000
Sm: 0.6361 0.6361 0.0000
Y: 0.0000 0.0000 0.0000